A plane-wave DFT calculation with PBE was carried out for an optimized crystal structure of MgCdIn4S8.

Its uncorrected formation energy is -16.10 kcal/mol of atoms. The value obtained for the total energy is -4.02 eV/atom.

The space group is R3m (No. 160, hexagonal axes) and the conventional cell measures 7.7529, 7.7529 and 18.8239 Å, with angles of 90.00, 90.00 and 120.00 degrees. Symmetry generates all atoms from Mg at (0.0000, 0.0000, 0.0000), Cd at (0.0000, 0.0000, 0.3785), In at (0.0000, 0.0000, 0.6173), In at (0.1711, 0.3422, 0.8293), S at (0.0000, 0.0000, 0.2408), S at (0.0000, 0.0000, 0.7538), S at (0.0285, 0.5143, 0.7491) and S at (0.1803, 0.3607, 0.5784).



A plane-wave DFT calculation with PBE was carried out for an optimized crystal structure of MgCdInSb.

Its uncorrected formation energy is -0.14 kcal/mol of atoms. The value obtained for the total energy is -2.35 eV/atom. The value obtained for the density of states at the Fermi level is 4.94 states/eV per cell.

The space group is F-43m (No. 216) and the conventional cell measures 7.4767, 7.4767 and 7.4767 Å, with angles of 90.00, 90.00 and 90.00 degrees. Symmetry generates all atoms from Mg at (0.0000, 0.0000, 0.0000), Cd at (0.2500, 0.2500, 0.7500), In at (0.0000, 0.0000, 0.5000) and Sb at (0.2500, 0.2500, 0.2500).



A plane-wave DFT calculation with PBE was carried out for an optimized crystal structure of MgScCdIn.

The value obtained for the total energy is -3.19 eV/atom. The value obtained for the density of states at the Fermi level is 1.56 states/eV per cell. The calculated formation energy is -0.30 eV per atom.

The space group is Pmmm (No. 47) and the conventional cell measures 4.0870, 4.5818 and 4.6945 Å, with angles of 90.00, 90.00 and 90.00 degrees. Symmetry generates all atoms from Mg at (0.0000, 0.0000, 0.0000), Sc at (0.0000, 0.5000, 0.5000), Cd at (0.5000, 0.5000, 0.0000) and In at (0.5000, 0.0000, 0.5000).



A plane-wave DFT calculation with PBE was carried out for an optimized crystal structure of Mg2ScCd5In.

The value obtained for the total energy is -1.94 eV/atom. The value obtained for the density of states at the Fermi level is 14.94 states/eV per cell. The calculated formation energy is -0.07 eV per atom.

The space group is Cmc2_1 (No. 36) and the conventional cell measures 4.7350, 17.3278 and 10.1281 Å, with angles of 90.00, 90.00 and 90.00 degrees. Symmetry generates all atoms from Mg at (0.0000, 0.1021, 0.0000), Mg at (0.0000, 0.1258, 0.6065), Sc at (0.0000, 0.2186, 0.2399), Cd at (0.0000, 0.0230, 0.3107), Cd at (0.0000, 0.2881, 0.5138), Cd at (0.0000, 0.2969, 0.9593), Cd at (0.0000, 0.3976, 0.2845), Cd at (0.0000, 0.4765, 0.0116) and In at (0.0000, 0.3946, 0.7244).



A plane-wave DFT calculation with PBE was carried out for an optimized crystal structure of SmMg2Cd2In2.

The value obtained for the total energy is -2.39 eV/atom. The value obtained for the density of states at the Fermi level is 7.89 states/eV per cell. The calculated formation energy is -0.22 eV per atom.

The space group is R-3m (No. 166, hexagonal axes) and the conventional cell measures 4.8551, 4.8551 and 25.9043 Å, with angles of 90.00, 90.00 and 120.00 degrees. Symmetry generates all atoms from Sm at (0.0000, 0.0000, 0.0000), Mg at (0.0000, 0.0000, 0.1337), Cd at (0.0000, 0.0000, 0.2479) and In at (0.0000, 0.0000, 0.3945).



A plane-wave DFT calculation with PBE was carried out for an optimized crystal structure of MgCdInSn.

The value obtained for the total energy is -2.30 eV/atom. The energy above the most stable polymorph in this dataset comes out at 4.6 kJ/mol of atoms. The value obtained for the density of states at the Fermi level is 6.81 states/eV per cell. The calculated formation energy is 0.01 eV per atom.

The space group is F-43m (No. 216) and the conventional cell measures 7.3755, 7.3755 and 7.3755 Å, with angles of 90.00, 90.00 and 90.00 degrees. Symmetry generates all atoms from Mg at (0.0000, 0.0000, 0.0000), Cd at (0.0000, 0.0000, 0.5000), In at (0.2500, 0.2500, 0.2500) and Sn at (0.2500, 0.2500, 0.7500).



A plane-wave DFT calculation with PBE was carried out for an optimized crystal structure of Mg2CdInSn.

The value obtained for the total energy is -1.82 eV/atom. The energy above the most stable polymorph in this dataset comes out at 39.1 kJ/mol of atoms. The value obtained for the density of states at the Fermi level is 3.37 states/eV per cell. The calculated formation energy is 0.35 eV per atom.

The space group is P4/mmm (No. 123) and the conventional cell measures 5.2426, 5.2426 and 5.4263 Å, with angles of 90.00, 90.00 and 90.00 degrees. Symmetry generates all atoms from Mg at (0.0000, 0.5000, 0.0000), Cd at (0.0000, 0.0000, 0.0000), In at (0.0000, 0.0000, 0.5000) and Sn at (0.5000, 0.5000, 0.5000).



A plane-wave DFT calculation with PBE was carried out for an optimized crystal structure of Mg2CdInSn.

The value obtained for the total energy is -2.22 eV/atom. The energy above the most stable polymorph in this dataset comes out at 0.0 kJ/mol of atoms. The value obtained for the density of states at the Fermi level is 4.72 states/eV per cell. The calculated formation energy is -0.05 eV per atom.

The space group is P2_1/m (No. 11) and the conventional cell measures 7.1188, 4.5912 and 7.2944 Å, with angles of 90.00, 90.53 and 90.00 degrees. Symmetry generates all atoms from Mg at (0.0452, 0.2500, 0.3451), Mg at (0.4514, 0.2500, 0.1520), Cd at (0.2529, 0.2500, 0.7439), In at (0.3428, 0.7500, 0.4555) and Sn at (0.1608, 0.7500, 0.0565).



A plane-wave DFT calculation with PBE was carried out for an optimized crystal structure of Mg2Cd5InSn.

The value obtained for the total energy is -1.52 eV/atom. The value obtained for the density of states at the Fermi level is 18.22 states/eV per cell. The calculated formation energy is 0.09 eV per atom.

The space group is I4/mcm (No. 140) and the conventional cell measures 8.8078, 8.8078 and 11.8343 Å, with angles of 90.00, 90.00 and 90.00 degrees. Symmetry generates all atoms from Mg at (0.1121, 0.3879, 0.0000), Cd at (0.0000, 0.0000, 0.0000), Cd at (0.2022, 0.2978, 0.3679), In at (0.0000, 0.0000, 0.2500) and Sn at (0.0000, 0.5000, 0.2500).



A plane-wave DFT calculation with PBE was carried out for an optimized crystal structure of MgCdInSn.

The value obtained for the total energy is -2.35 eV/atom. The energy above the most stable polymorph in this dataset comes out at 0.0 kJ/mol of atoms. The value obtained for the density of states at the Fermi level is 1.77 states/eV per cell. The calculated formation energy is -0.03 eV per atom.

The space group is Pmmm (No. 47) and the conventional cell measures 4.4567, 4.6567 and 4.7103 Å, with angles of 90.00, 90.00 and 90.00 degrees. Symmetry generates all atoms from Mg at (0.0000, 0.0000, 0.0000), Cd at (0.5000, 0.0000, 0.5000), In at (0.0000, 0.5000, 0.5000) and Sn at (0.5000, 0.5000, 0.0000).



A plane-wave DFT calculation with PBE was carried out for an optimized crystal structure of SrMg2CdIn2.

The value obtained for the total energy is -2.08 eV/atom. The value obtained for the density of states at the Fermi level is 3.53 states/eV per cell. The calculated formation energy is -0.20 eV per atom.

The space group is P-3m1 (No. 164) and the conventional cell measures 4.9740, 4.9740 and 7.5979 Å, with angles of 90.00, 90.00 and 120.00 degrees. Symmetry generates all atoms from Sr at (0.0000, 0.0000, 0.0000), Mg at (0.3333, 0.6667, 0.6635), Cd at (0.0000, 0.0000, 0.5000) and In at (0.3333, 0.6667, 0.2473).



A plane-wave DFT calculation with PBE was carried out for an optimized crystal structure of SrMg2Cd4In.

The value obtained for the total energy is -1.54 eV/atom. The value obtained for the density of states at the Fermi level is 10.30 states/eV per cell. The calculated formation energy is -0.13 eV per atom.

The space group is R-3m (No. 166, hexagonal axes) and the conventional cell measures 4.9067, 4.9067 and 30.3152 Å, with angles of 90.00, 90.00 and 120.00 degrees. Symmetry generates all atoms from Sr at (0.0000, 0.0000, 0.0000), Mg at (0.0000, 0.0000, 0.2412), Cd at (0.0000, 0.0000, 0.1234), Cd at (0.0000, 0.0000, 0.3971) and In at (0.0000, 0.0000, 0.5000).